Record 1
A plane-wave DFT calculation with PBE was carried out for a relaxed MnAgH2Cl8 crystal.

extended XYZ file:
```
12
Lattice="6.654 0.000 0.000 0.125 7.018 0.000 0.687 0.103 7.075" Properties=species:S:1:pos:R:3 pbc="T T T"
Mn 0.000 0.000 0.000
Ag 0.062 3.509 0.000
H 1.987 4.954 2.120
H 5.478 2.167 4.955
Cl 1.938 1.700 5.988
Cl 2.007 5.481 5.989
Cl 1.620 7.012 1.686
Cl 2.116 3.648 2.244
Cl 5.349 3.473 4.831
Cl 5.846 0.109 5.389
Cl 5.459 1.640 1.086
Cl 5.528 5.421 1.087
```

=====

Record 2
A plane-wave DFT calculation with PBE was carried out for a relaxed AgMoH2Cl crystal.

extended XYZ file:
```
5
Lattice="3.732 0.000 0.000 0.000 3.732 0.000 0.000 0.000 6.117" Properties=species:S:1:pos:R:3 pbc="T T T"
Ag 0.000 0.000 0.000
Mo 0.000 0.000 3.058
H 0.000 1.866 3.058
H 1.866 0.000 3.058
Cl 1.866 1.866 0.000
```

=====

Record 3
A plane-wave DFT calculation with PBE was carried out for a relaxed AgH4NCl2 crystal.

extended XYZ file:
```
16
Lattice="8.101 0.000 0.000 0.000 4.049 0.000 0.000 0.000 8.035" Properties=species:S:1:pos:R:3 pbc="T T T"
Ag 0.000 0.987 0.000
Ag 4.051 3.062 4.017
H 0.000 2.320 3.825
H 0.000 3.033 2.295
H 0.855 3.755 3.578
H 3.196 0.294 7.595
H 4.051 1.016 6.313
H 4.051 1.728 7.842
H 4.905 0.294 7.595
H 7.247 3.755 3.578
N 0.000 3.211 3.312
N 4.051 0.838 7.330
Cl 1.729 3.013 0.317
Cl 2.322 1.036 4.334
Cl 5.780 1.036 4.334
Cl 6.372 3.013 0.317
```

=====

Record 4
A plane-wave DFT calculation with PBE was carried out for a relaxed AgH4NCl3 crystal.

extended XYZ file:
```
9
Lattice="5.076 0.000 0.000 0.000 5.165 0.000 -0.005 0.000 5.167" Properties=species:S:1:pos:R:3 pbc="T T T"
Ag 0.000 0.000 0.000
H 1.928 1.739 2.590
H 1.928 3.427 2.590
H 3.123 2.583 1.736
H 3.137 2.583 3.425
N 2.529 2.583 2.585
Cl 0.176 0.000 2.583
Cl 2.538 0.000 0.001
Cl 4.893 2.583 5.164
```

Calculated values
- Distance to the lowest polymorph of the same formula: 0.000 eV/atom

=====

Mass density list, top to bottom, in g/cm3: 2.25; 4.70; 2.48; 2.85
Raw total energy list, top to bottom, in eV/atom: -3.3754; -3.9174; -4.0780; -3.9020
DOS(E_F) list, top to bottom, in states/eV/atom: 0.251; 0.082; 0.000; 0.243